# SCAN MnZn4Se5, PBEsol geometry
# ΔE_f (raw) in eV/atom: -0.813
# Uncorrected energy in eV/atom: -18.08
# Distance to the lowest polymorph of the same formula in meV per atom: 4
# Total magnetization in μB/atom: 0.500
data_MnZn4Se5
_cell_length_a 4.0061
_cell_length_b 4.0061
_cell_length_c 49.1918
_cell_angle_alpha 90.00
_cell_angle_beta 90.00
_cell_angle_gamma 120.00
_space_group_name_H-M_alt 'R 3 m'
_space_group_IT_number 160
_space_group_name_Hall 'R 3 -2"'
loop_
_atom_site_label
_atom_site_fract_x
_atom_site_fract_y
_atom_site_fract_z
Mn1 0.0000 0.0000 0.0000
Zn1 0.0000 0.0000 0.1991
Zn2 0.0000 0.0000 0.4006
Zn3 0.0000 0.0000 0.5982
Zn4 0.0000 0.0000 0.7998
Se1 0.0000 0.0000 0.0506
Se2 0.0000 0.0000 0.2487
Se3 0.0000 0.0000 0.4501
Se4 0.0000 0.0000 0.6479
Se5 0.0000 0.0000 0.8494


# SCAN SrRe2P, PBEsol geometry
# Uncorrected energy in eV/atom: -43.26
# Total magnetization in μB/atom: 0.000
data_SrRe2P
_cell_length_a 10.408
_cell_length_b 2.883
_cell_length_c 5.234
_cell_angle_alpha 90.00
_cell_angle_beta 112.13
_cell_angle_gamma 90.00
_space_group_name_H-M_alt 'C 1 2/m 1'
_space_group_IT_number 12
_space_group_name_Hall '-C 2y'
loop_
_atom_site_label
_atom_site_fract_x
_atom_site_fract_y
_atom_site_fract_z
Sr1 0.000 0.000 0.000
Re1 0.202 0.000 0.653
P1 0.000 0.500 0.500